Entry from Alexandria: crystalline NaTlCd2H at its relaxed geometry (PBE-GGA).

a b c (Å): 4.6472 4.6472 4.7653
angles (deg): 90.00 90.00 90.00
With the nearest neighbours (Å) after each atom.
Atoms (fractional coordinates):
Na (0.0000, 0.0000, 0.0000)  2 H 2.38
Tl (0.5000, 0.5000, 0.0000)  4 Na 3.29, 8 Cd 3.33
Cd (0.0000, 0.5000, 0.5000)  2 H 2.32
Cd (0.5000, 0.0000, 0.5000)  2 H 2.32
H (0.0000, 0.0000, 0.5000)  4 Cd 2.32, 2 Na 2.38

Properties
- final energy (eV per cell) = -8.35
- mass density (g/cm³) = 7.31

Entry from Alexandria: crystalline Na2ZnCdH at its relaxed geometry (PBE-GGA).

a b c (Å): 4.7358 4.7358 4.2167
angles (deg): 90.00 90.00 90.00
With the nearest neighbours (Å) after each atom.
Atoms (fractional coordinates):
Na (0.0000, 0.5000, 0.0000)  2 H 2.37
Na (0.5000, 0.0000, 0.0000)  2 H 2.37
Zn (0.0000, 0.0000, 0.5000)  2 H 2.11
Cd (0.5000, 0.5000, 0.5000)  8 Na 3.17, 4 Zn 3.35
H (0.0000, 0.0000, 0.0000)  2 Zn 2.11

Properties
- mass density (g/cm³) = 3.95
- excess energy over the best structure of this formula in the dataset (eV/atom) = 0.000

Entry from Alexandria: crystalline Na2ZnCdH at its relaxed geometry (PBE-GGA).

a b c (Å): 4.5595 4.5595 4.6434
angles (deg): 90.00 90.00 90.00
With the nearest neighbours (Å) after each atom.
Atoms (fractional coordinates):
Na (0.0000, 0.5000, 0.0000)  2 H 2.28
Na (0.5000, 0.0000, 0.0000)  2 H 2.28
Zn (0.0000, 0.0000, 0.5000)  4 Cd 3.22, 8 Na 3.25
Cd (0.5000, 0.5000, 0.5000)  2 H 2.32
H (0.5000, 0.5000, 0.0000)  4 Na 2.28, 2 Cd 2.32

Properties
- mass density (g/cm³) = 3.87
- excess energy over the best structure of this formula in the dataset (eV/atom) = 0.020

Entry from Alexandria: crystalline Na2ZrCdH at its relaxed geometry (PBE-GGA).

a b c (Å): 6.1303 6.1303 3.4714
angles (deg): 90.00 90.00 90.00
With the nearest neighbours (Å) after each atom.
Atoms (fractional coordinates):
Na (0.0000, 0.5000, 0.0000)  2 Cd 3.07
Na (0.5000, 0.0000, 0.0000)  2 Cd 3.07
Zr (0.0000, 0.0000, 0.5000)  2 Zr 3.47, 8 Na 3.52
Cd (0.5000, 0.5000, 0.0000)  2 H 1.74
H (0.5000, 0.5000, 0.5000)  2 Cd 1.74

Properties
- final energy (eV per cell) = -11.56
- mass density (g/cm³) = 3.19

Entry from Alexandria: crystalline NbCdH3 at its relaxed geometry (PBE-GGA).

a b c (Å): 3.6994 3.6994 3.6994
angles (deg): 90.00 90.00 90.00
With the nearest neighbours (Å) after each atom.
Atoms (fractional coordinates):
Nb (0.0000, 0.0000, 0.0000)  12 H 2.62
Cd (0.5000, 0.5000, 0.5000)  6 H 1.85
H (0.0000, 0.5000, 0.5000)  2 Cd 1.85
H (0.5000, 0.0000, 0.5000)  2 Cd 1.85
H (0.5000, 0.5000, 0.0000)  2 Cd 1.85

Properties
- mass density (g/cm³) = 6.83
- excess energy over the best structure of this formula in the dataset (eV/atom) = 0.708

Entry from Alexandria: crystalline NbCdH2 at its relaxed geometry (PBE-GGA).

a b c (Å): 5.4042 5.4042 5.4042
angles (deg): 127.44 127.44 77.54
With the nearest neighbours (Å) after each atom.
Atoms (fractional coordinates):
Nb (0.0000, 0.0000, 0.0000)  4 H 1.85
Nb (0.7500, 0.2500, 0.5000)  4 H 1.85
Cd (0.2500, 0.7500, 0.5000)  4 H 2.16
Cd (0.5000, 0.5000, 0.0000)  4 H 2.16
H (0.0703, 0.6250, 0.9453)  2 Nb 1.85
H (0.3750, 0.3203, 0.4453)  2 Nb 1.85
H (0.6797, 0.1250, 0.0547)  2 Nb 1.85
H (0.8750, 0.9297, 0.5547)  2 Nb 1.85

Properties
- mass density (g/cm³) = 7.14
- excess energy over the best structure of this formula in the dataset (eV/atom) = 0.000

Listing calculated volume for the structures above in their given order: 102.9; 94.6; 96.5; 130.5; 50.6; 96.5 Å³ per cell.